Density functional theory data (PBE) for crystalline RbNaCuO2 at its relaxed geometry.

Formation energy (no corrections) (eV/atom): -0.945

Cell lengths 7.0045, 7.0045, 4.8861 Å; angles 90.00, 90.00, 125.47 degrees
Closest atoms and distances in Å follow each position.
Positions (direct):
Rb 0.2500 0.7500 0.7557  4 O 3.04-3.13, 2 Cu 3.35
Rb 0.7500 0.2500 0.2443  4 O 3.04-3.13, 2 Cu 3.35
Na 0.2500 0.2500 0.0000  4 O 2.35
Na 0.7500 0.7500 0.0000  4 O 2.35
Cu 0.0000 0.0000 0.5000  2 O 1.76
Cu 0.5000 0.5000 0.5000  2 O 1.76
O 0.0990 0.9010 0.2436  1 Cu 1.76
O 0.4010 0.5990 0.2436  1 Cu 1.76
O 0.5990 0.4010 0.7564  1 Cu 1.76
O 0.9010 0.0990 0.7564  1 Cu 1.76

Density functional theory data (PBE) for crystalline Tb6Pr2HoTm3 at its relaxed geometry.

Cell lengths 6.1741, 6.1741, 11.8135 Å; angles 94.98, 94.98, 119.97 degrees
Closest atoms and distances in Å follow each position.
Positions (direct):
Tb 0.0854 0.4176 0.7547  3 Tm 3.52, 6 Tb 3.55-3.57, 1 Ho 3.61, 2 Pr 3.61
Tb 0.2468 0.2468 0.2450  3 Tm 3.51-3.52, 6 Tb 3.55-3.57, 1 Ho 3.60, 2 Pr 3.61
Tb 0.4176 0.0854 0.7547  3 Tm 3.52, 6 Tb 3.55-3.57, 1 Ho 3.61, 2 Pr 3.61
Tb 0.5824 0.9146 0.2453  3 Tm 3.52, 6 Tb 3.55-3.57, 1 Ho 3.61, 2 Pr 3.61
Tb 0.7532 0.7532 0.7550  3 Tm 3.51-3.52, 6 Tb 3.55-3.57, 1 Ho 3.60, 2 Pr 3.61
Tb 0.9146 0.5824 0.2453  3 Tm 3.52, 6 Tb 3.55-3.57, 1 Ho 3.61, 2 Pr 3.61
Pr 0.3334 0.6666 0.5000  3 Pr 3.56-3.57, 3 Ho 3.56-3.57, 6 Tb 3.61
Pr 0.6666 0.3334 0.5000  3 Pr 3.56-3.57, 3 Ho 3.56-3.57, 6 Tb 3.61
Ho 0.0000 0.0000 0.5000  6 Pr 3.56-3.57, 6 Tb 3.60-3.61
Tm 0.1663 0.8337 0.0000  6 Tb 3.51-3.52, 6 Tm 3.56-3.57
Tm 0.5000 0.5000 0.0000  6 Tb 3.52, 6 Tm 3.56-3.57
Tm 0.8337 0.1663 0.0000  6 Tb 3.51-3.52, 6 Tm 3.56-3.57

Density functional theory data (PBE) for crystalline LiZnFe3 at its relaxed geometry.

Energy above the most stable polymorph in this dataset (eV/atom): 0.0000

Cell lengths 4.0058, 4.0058, 4.0058 Å; angles 90.00, 90.00, 90.00 degrees
Closest atoms and distances in Å follow each position.
Positions (direct):
Li 0.0000 0.0000 0.0000  6 Fe 2.00
Zn 0.5000 0.5000 0.5000  12 Fe 2.83
Fe 0.0000 0.0000 0.5000  2 Li 2.00
Fe 0.0000 0.5000 0.0000  2 Li 2.00
Fe 0.5000 0.0000 0.0000  2 Li 2.00

Density functional theory data (PBE) for crystalline Na4Ho at its relaxed geometry.

Cell lengths 6.5751, 6.5751, 6.5751 Å; angles 90.00, 90.00, 90.00 degrees
Closest atoms and distances in Å follow each position.
Positions (direct):
Na 0.0000 0.0000 0.0000  12 Na 4.65
Na 0.0000 0.5000 0.5000  2 Ho 3.29
Na 0.5000 0.0000 0.5000  2 Ho 3.29
Na 0.5000 0.5000 0.0000  2 Ho 3.29
Ho 0.5000 0.5000 0.5000  6 Na 3.29

Density functional theory data (PBE) for crystalline V3SiRh at its relaxed geometry.

Energy above the most stable polymorph in this dataset (eV/atom): 0.0000
Formation energy (no corrections) (eV/atom): 0.734

Cell lengths 4.3199, 4.3199, 4.3199 Å; angles 90.00, 90.00, 90.00 degrees
Closest atoms and distances in Å follow each position.
Positions (direct):
V 0.0000 0.0000 0.5000  2 Si 2.16
V 0.0000 0.5000 0.0000  2 Si 2.16
V 0.5000 0.0000 0.0000  2 Si 2.16
Si 0.0000 0.0000 0.0000  6 V 2.16
Rh 0.5000 0.5000 0.5000  12 V 3.05

Density functional theory data (PBE) for crystalline CePrInSn at its relaxed geometry.

Cell lengths 5.4962, 5.4962, 5.4962 Å; angles 60.00, 60.00, 60.00 degrees
Closest atoms and distances in Å follow each position.
Positions (direct):
Ce 0.0000 0.0000 0.0000  4 In 3.37, 4 Sn 3.37
Pr 0.5000 0.5000 0.5000  4 Sn 3.37, 4 In 3.37
In 0.2500 0.2500 0.2500  4 Pr 3.37, 4 Ce 3.37
Sn 0.7500 0.7500 0.7500  4 Pr 3.37, 4 Ce 3.37

Density functional theory data (PBE) for crystalline ZrVNi2 at its relaxed geometry.

Energy above the most stable polymorph in this dataset (eV/atom): 0.3246

Cell lengths 5.4722, 5.4722, 5.4722 Å; angles 103.00, 103.00, 123.37 degrees
Closest atoms and distances in Å follow each position.
Positions (direct):
Zr 0.0000 0.0000 0.0000  2 V 2.60, 4 Ni 2.66
Zr 0.7500 0.2500 0.5000  2 V 2.60, 4 Ni 2.66
V 0.2500 0.7500 0.5000  4 Ni 2.34, 2 Zr 2.60
V 0.5000 0.5000 0.0000  4 Ni 2.34, 2 Zr 2.60
Ni 0.1602 0.6250 0.0352  2 V 2.34
Ni 0.3750 0.4102 0.5352  2 V 2.34
Ni 0.5898 0.1250 0.9648  2 V 2.34
Ni 0.8750 0.8398 0.4648  2 V 2.34

Density functional theory data (PBE) for crystalline Cs2Cu2W at its relaxed geometry.

Energy above the most stable polymorph in this dataset (eV/atom): 0.5609

Cell lengths 7.8483, 7.8483, 7.8483 Å; angles 144.47, 144.47, 51.12 degrees
Closest atoms and distances in Å follow each position.
Positions (direct):
Cs 0.2500 0.7500 0.5000  4 Cs 3.39, 4 Cu 3.40
Cs 0.7500 0.2500 0.5000  4 Cs 3.39, 4 Cu 3.40
Cu 0.0796 0.0796 0.0000  1 Cu 2.25
Cu 0.9204 0.9204 0.0000  1 Cu 2.25
W 0.5000 0.5000 0.0000  8 Cu 3.57

Density functional theory data (PBE) for crystalline TaBiAu3 at its relaxed geometry.

Energy above the most stable polymorph in this dataset (eV/atom): 0.0000

Cell lengths 5.1185, 5.1185, 5.1185 Å; angles 90.00, 90.00, 90.00 degrees
Closest atoms and distances in Å follow each position.
Positions (direct):
Ta 0.0000 0.0000 0.0000  6 Au 2.56
Bi 0.5000 0.5000 0.5000  12 Au 3.62
Au 0.0000 0.0000 0.5000  2 Ta 2.56
Au 0.0000 0.5000 0.0000  2 Ta 2.56
Au 0.5000 0.0000 0.0000  2 Ta 2.56

Density functional theory data (PBE) for crystalline CsCuSb at its relaxed geometry.

Formation energy (no corrections) (eV/atom): -0.162

Cell lengths 4.4204, 4.4204, 6.1712 Å; angles 90.00, 90.00, 120.00 degrees
Closest atoms and distances in Å follow each position.
Positions (direct):
Cs 0.0000 0.0000 0.0000  6 Cu 4.00-4.01, 6 Sb 4.00, 6 Cs 4.42
Cu 0.6667 0.3333 0.4989  3 Sb 2.55
Sb 0.3333 0.6667 0.4999  3 Cu 2.55

Density functional theory data (PBE) for crystalline CaLa2GaRu at its relaxed geometry.

Energy above the most stable polymorph in this dataset (eV/atom): 0.0919

Cell lengths 5.3370, 5.3370, 5.5449 Å; angles 90.00, 90.00, 90.00 degrees
Closest atoms and distances in Å follow each position.
Positions (direct):
Ca 0.0000 0.0000 0.0000  2 Ru 2.77
La 0.0000 0.5000 0.5000  2 Ru 2.67
La 0.5000 0.0000 0.5000  2 Ru 2.67
Ga 0.5000 0.5000 0.0000  4 Ca 3.77, 8 La 3.85
Ru 0.0000 0.0000 0.5000  4 La 2.67, 2 Ca 2.77

Density functional theory data (PBE) for crystalline SmPd2Au3 at its relaxed geometry.

Cell lengths 7.9045, 7.9045, 7.9045 Å; angles 45.33, 45.33, 45.33 degrees
Closest atoms and distances in Å follow each position.
Positions (direct):
Sm 0.2262 0.2262 0.2262  3 Pd 2.88, 9 Au 3.05-3.09
Sm 0.7738 0.7738 0.7738  3 Pd 2.88, 9 Au 3.05-3.09
Pd 0.0000 0.0000 0.0000  6 Au 2.90, 6 Pd 3.05
Pd 0.0000 0.5000 0.5000  4 Au 2.87, 2 Sm 2.88, 6 Pd 3.05
Pd 0.5000 0.0000 0.5000  4 Au 2.87, 2 Sm 2.88, 6 Pd 3.05
Pd 0.5000 0.5000 0.0000  4 Au 2.87, 2 Sm 2.88, 6 Pd 3.05
Au 0.2314 0.7231 0.7231  3 Pd 2.87-2.90, 6 Au 3.00-3.10, 3 Sm 3.05-3.09
Au 0.2769 0.2769 0.7686  3 Pd 2.87-2.90, 6 Au 3.00-3.10, 3 Sm 3.05-3.09
Au 0.2769 0.7686 0.2769  3 Pd 2.87-2.90, 6 Au 3.00-3.10, 3 Sm 3.05-3.09
Au 0.7231 0.2314 0.7231  3 Pd 2.87-2.90, 6 Au 3.00-3.10, 3 Sm 3.05-3.09
Au 0.7231 0.7231 0.2314  3 Pd 2.87-2.90, 6 Au 3.00-3.10, 3 Sm 3.05-3.09
Au 0.7686 0.2769 0.2769  3 Pd 2.87-2.90, 6 Au 3.00-3.10, 3 Sm 3.05-3.09

Density functional theory data (PBE) for crystalline Ac2LaSe at its relaxed geometry.

Formation energy (no corrections) (eV/atom): -0.561

Cell lengths 11.6987, 11.6987, 11.6987 Å; angles 19.81, 19.81, 19.81 degrees
Closest atoms and distances in Å follow each position.
Positions (direct):
Ac 0.1072 0.1072 0.1072  3 Se 3.10
Ac 0.8928 0.8928 0.8928  3 Se 3.10
La 0.0000 0.0000 0.0000  2 Ac 3.69, 6 La 4.03
Se 0.5000 0.5000 0.5000  6 Ac 3.10

Density functional theory data (PBE) for crystalline Li2AlTl at its relaxed geometry.

Cell lengths 9.3498, 9.3498, 9.3498 Å; angles 19.84, 19.84, 19.84 degrees
Closest atoms and distances in Å follow each position.
Positions (direct):
Li 0.2459 0.2459 0.2459  3 Al 2.86, 3 Tl 3.04
Li 0.7541 0.7541 0.7541  3 Al 2.86, 3 Tl 3.04
Al 0.5000 0.5000 0.5000  6 Li 2.86
Tl 0.0000 0.0000 0.0000  6 Li 3.04, 6 Tl 3.22

Density functional theory data (PBE) for crystalline Ti7Cu2Ni2 at its relaxed geometry.

Cell lengths 5.5314, 5.5314, 6.3116 Å; angles 90.00, 90.00, 109.69 degrees
Closest atoms and distances in Å follow each position.
Positions (direct):
Ti 0.0000 0.0000 0.0000  2 Ni 2.60
Ti 0.0000 0.5000 0.2765  2 Ni 2.39
Ti 0.0000 0.5000 0.7235  2 Ni 2.39
Ti 0.5000 0.0000 0.2765  2 Ni 2.39
Ti 0.5000 0.0000 0.7235  2 Ni 2.39
Ti 0.5000 0.5000 0.2624  2 Ni 2.54, 2 Cu 2.55, 4 Ti 2.77
Ti 0.5000 0.5000 0.7376  2 Ni 2.54, 2 Cu 2.55, 4 Ti 2.77
Cu 0.1760 0.1760 0.5000  1 Cu 2.24
Cu 0.8240 0.8240 0.5000  1 Cu 2.24
Ni 0.2878 0.7122 0.0000  7 Ti 2.39-2.60
Ni 0.7122 0.2878 0.0000  7 Ti 2.39-2.60

Density functional theory data (PBE) for crystalline Tb3Ni2P4 at its relaxed geometry.

Cell lengths 5.9967, 5.9967, 8.1733 Å; angles 115.17, 115.17, 38.35 degrees
Closest atoms and distances in Å follow each position.
Positions (direct):
Tb 0.0000 0.0000 0.0000  6 P 2.74-2.98
Tb 0.3683 0.3683 0.2792  5 P 2.73-2.99
Tb 0.6317 0.6317 0.7208  5 P 2.73-2.99
Ni 0.3153 0.3153 0.6153  4 P 2.28-2.35
Ni 0.6847 0.6847 0.3847  4 P 2.28-2.35
P 0.0903 0.0903 0.4035  3 Ni 2.28-2.35
P 0.3122 0.3122 0.8928  1 Ni 2.28
P 0.6878 0.6878 0.1072  1 Ni 2.28
P 0.9097 0.9097 0.5965  3 Ni 2.28-2.35

Density functional theory data (PBE) for crystalline Sr3Al2Bi4 at its relaxed geometry.

Energy above the most stable polymorph in this dataset (eV/atom): 0.0585

Cell lengths 9.1370, 9.1370, 10.2538 Å; angles 106.66, 106.66, 48.58 degrees
Closest atoms and distances in Å follow each position.
Positions (direct):
Sr 0.0084 0.9916 0.7500  6 Bi 3.33-3.41
Sr 0.3656 0.3698 0.1828  3 Al 3.43-3.75, 7 Bi 3.50-3.79
Sr 0.3698 0.3656 0.6828  3 Al 3.43-3.75, 7 Bi 3.50-3.79
Sr 0.6302 0.6344 0.3172  3 Al 3.43-3.75, 7 Bi 3.50-3.79
Sr 0.6344 0.6302 0.8172  3 Al 3.43-3.75, 7 Bi 3.50-3.79
Sr 0.9916 0.0084 0.2500  6 Bi 3.33-3.41
Al 0.0091 0.3195 0.5923  4 Bi 2.87-3.00
Al 0.3195 0.0091 0.0923  4 Bi 2.87-3.00
Al 0.6805 0.9909 0.9077  4 Bi 2.87-3.00
Al 0.9909 0.6805 0.4077  4 Bi 2.87-3.00
Bi 0.1787 0.2516 0.3588  3 Al 2.92-3.00
Bi 0.2516 0.1787 0.8588  3 Al 2.92-3.00
Bi 0.2776 0.7094 0.0011  1 Al 2.87
Bi 0.2906 0.7224 0.4989  1 Al 2.87
Bi 0.7094 0.2776 0.5011  1 Al 2.87
Bi 0.7224 0.2906 0.9989  1 Al 2.87
Bi 0.7484 0.8213 0.1412  3 Al 2.92-3.00
Bi 0.8213 0.7484 0.6412  3 Al 2.92-3.00

Density functional theory data (PBE) for crystalline MnPtAu6 at its relaxed geometry.

Cell lengths 5.0008, 5.0008, 8.3154 Å; angles 114.72, 114.72, 48.66 degrees
Closest atoms and distances in Å follow each position.
Positions (direct):
Mn 0.0000 0.0000 0.0000  12 Au 2.88-2.92
Pt 0.0000 0.0000 0.5000  12 Au 2.90-2.94
Au 0.2475 0.2475 0.3728  1 Mn 2.88, 8 Au 2.88-2.94, 3 Pt 2.90
Au 0.2521 0.2521 0.8760  8 Au 2.86-2.93, 3 Mn 2.88-2.92, 1 Pt 2.91
Au 0.4989 0.4989 0.2467  8 Au 2.86-2.94, 2 Mn 2.91, 2 Pt 2.94
Au 0.5011 0.5011 0.7533  8 Au 2.86-2.94, 2 Mn 2.91, 2 Pt 2.94
Au 0.7479 0.7479 0.1240  8 Au 2.86-2.93, 3 Mn 2.88-2.92, 1 Pt 2.91
Au 0.7525 0.7525 0.6272  1 Mn 2.88, 8 Au 2.88-2.94, 3 Pt 2.90

Density functional theory data (PBE) for crystalline DyHo2Er4Tm at its relaxed geometry.

Cell lengths 4.9513, 4.9513, 9.9224 Å; angles 90.00, 90.00, 90.00 degrees
Closest atoms and distances in Å follow each position.
Positions (direct):
Dy 0.0000 0.0000 0.0000  4 Ho 3.50, 8 Er 3.51
Ho 0.0000 0.0000 0.5000  8 Er 3.50, 4 Tm 3.50
Ho 0.5000 0.5000 0.0000  4 Dy 3.50, 8 Er 3.51
Er 0.0000 0.5000 0.2508  2 Tm 3.50, 4 Ho 3.50-3.51, 4 Er 3.50, 2 Dy 3.51
Er 0.0000 0.5000 0.7492  2 Tm 3.50, 4 Ho 3.50-3.51, 4 Er 3.50, 2 Dy 3.51
Er 0.5000 0.0000 0.2508  2 Tm 3.50, 4 Ho 3.50-3.51, 4 Er 3.50, 2 Dy 3.51
Er 0.5000 0.0000 0.7492  2 Tm 3.50, 4 Ho 3.50-3.51, 4 Er 3.50, 2 Dy 3.51
Tm 0.5000 0.5000 0.5000  8 Er 3.50, 4 Ho 3.50

Density functional theory data (PBE) for crystalline ErTmAlIn at its relaxed geometry.

Energy above the most stable polymorph in this dataset (eV/atom): 0.0000

Cell lengths 3.4445, 3.4445, 8.1528 Å; angles 90.00, 90.00, 90.00 degrees
Closest atoms and distances in Å follow each position.
Positions (direct):
Er 0.0000 0.0000 0.0000  4 Al 3.11, 4 In 3.26, 4 Er 3.44
Tm 0.0000 0.0000 0.5277  4 Al 3.10, 4 In 3.24, 4 Tm 3.44
Al 0.5000 0.5000 0.7629  4 Tm 3.10, 4 Er 3.11, 4 Al 3.44
In 0.5000 0.5000 0.2651  4 Tm 3.24, 4 Er 3.26, 4 In 3.44

DFT total energy, respectively: -4.205 -4.591 -4.789 -1.157 -7.292 -4.845 -7.178 -2.723 -4.303 -3.186 -4.977 -4.605 -4.718 -2.488 -6.633 -6.346 -3.592 -4.380 -4.537 -4.287 eV/atom.
Size of the total moment, respectively: 2.0 0.0 7.0 1.0 0.0 1.3 0.0 4.1 0.0 0.0 0.0 0.0 0.7 0.0 2.0 0.0 0.0 4.3 0.0 0.0 Bohr magnetons per cell.